(1)
Entry from Alexandria: a geometry-optimized KCd2Pb structure (PBE).

Values from the calculation:
- Uncorrected energy: -6.740 eV per cell
- Energy above the most stable polymorph in this dataset: 76 meV per atom
- Space group: P4mm, No. 99

POSCAR file:
```
KCd2Pb
1.0
3.732 0.000 0.000
0.000 3.732 0.000
0.000 0.000 8.761
K Cd Pb
1 2 1
Cartesian
0.000 0.000 0.000
0.000 0.000 4.685
1.866 1.866 6.290
1.866 1.866 2.746
```

(2)
Entry from Alexandria: a geometry-optimized TaCrAg2 structure (PBE).

Values from the calculation:
- Uncorrected energy: -25.026 eV per cell
- Energy above the most stable polymorph in this dataset: 229 meV per atom
- Space group: Cmmm, No. 65

POSCAR file:
```
TaCrAg2
1.0
1.616 -2.272 0.000
1.616 2.272 0.000
0.000 0.000 9.474
Ta Cr Ag
1 1 2
Cartesian
0.000 0.000 0.000
0.000 0.000 4.737
1.616 0.000 2.443
1.616 0.000 7.031
```